VASP calculation (PBE) on a geometry-optimized Ba2MgGa structure.

```
data_Ba2MgGa
_cell_length_a 7.696
_cell_length_b 7.696
_cell_length_c 7.696
_cell_angle_alpha 103.52
_cell_angle_beta 103.52
_cell_angle_gamma 122.17
_space_group_name_H-M_alt 'P 1'
_space_group_IT_number 1
loop_
_space_group_symop_operation_xyz
'x,y,z'
loop_
_atom_site_label
_atom_site_fract_x
_atom_site_fract_y
_atom_site_fract_z
Ba1 0.086 0.625 0.961
Ba2 0.375 0.336 0.461
Ba3 0.664 0.125 0.039
Ba4 0.875 0.914 0.539
Mg1 0.250 0.750 0.500
Mg2 0.500 0.500 0.000
Ga1 0.000 0.000 0.000
Ga2 0.750 0.250 0.500
```

Summary:
- ΔE_f: 0.129 eV per atom



VASP calculation (PBE) on a geometry-optimized BaMg2Ga structure.

```
data_BaMg2Ga
_cell_length_a 6.709
_cell_length_b 6.709
_cell_length_c 8.059
_cell_angle_alpha 90.00
_cell_angle_beta 90.00
_cell_angle_gamma 139.43
_space_group_name_H-M_alt 'P 1'
_space_group_IT_number 1
loop_
_space_group_symop_operation_xyz
'x,y,z'
loop_
_atom_site_label
_atom_site_fract_x
_atom_site_fract_y
_atom_site_fract_z
Ba1 0.054 0.946 0.750
Ba2 0.946 0.054 0.250
Mg1 0.335 0.665 0.561
Mg2 0.335 0.665 0.939
Mg3 0.665 0.335 0.061
Mg4 0.665 0.335 0.439
Ga1 0.224 0.776 0.250
Ga2 0.776 0.224 0.750
```

Summary:
- ΔE_f: -0.233 eV per atom
- Energy above the lowest structure with this stoichiometry: 0.000 eV per atom



VASP calculation (PBE) on a geometry-optimized BaMg2Ga6 structure.

```
data_BaMg2Ga6
_cell_length_a 7.542
_cell_length_b 7.542
_cell_length_c 7.542
_cell_angle_alpha 146.40
_cell_angle_beta 119.16
_cell_angle_gamma 71.33
_space_group_name_H-M_alt 'P 1'
_space_group_IT_number 1
loop_
_space_group_symop_operation_xyz
'x,y,z'
loop_
_atom_site_label
_atom_site_fract_x
_atom_site_fract_y
_atom_site_fract_z
Ba1 0.000 0.000 0.000
Mg1 0.379 0.879 0.500
Mg2 0.621 0.121 0.500
Ga1 0.008 0.306 0.702
Ga2 0.334 0.500 0.834
Ga3 0.396 0.694 0.702
Ga4 0.604 0.306 0.298
Ga5 0.666 0.500 0.166
Ga6 0.992 0.694 0.298
```

Summary:
- ΔE_f: -0.249 eV per atom
- Energy above the lowest structure with this stoichiometry: 0.000 eV per atom



Number 1: E_tot -1.99 eV/atom. Number 2: E_tot -2.27 eV/atom. Number 3: E_tot -2.84 eV/atom.